1.
First-principles (PBE) data for a relaxed Re2SiAs crystal, as listed in Alexandria.

```
8
Lattice="3.0247 0.0000 0.0000 0.0000 4.0794 0.0000 0.0000 0.0000 9.5067" Properties=species:S:1:pos:R:3 pbc="T T T"
Re 0.0000 0.0000 0.0000
Re 0.0000 2.0397 2.3012
Re 1.5123 0.0000 7.0545
Re 1.5123 2.0397 4.7534
Si 0.0000 2.0397 6.9150
Si 1.5123 0.0000 2.1617
As 0.0000 0.0000 4.7771
As 1.5123 2.0397 0.0237
```

Calculated values
Size of the total moment: 0.00 μB per cell
E_tot: -8.509 eV per atom

2.
First-principles (PBE) data for a relaxed ReSi2As crystal, as listed in Alexandria.

```
4
Lattice="4.1675 0.0000 0.0000 0.0000 3.1673 0.0000 -2.0245 0.0000 4.5853" Properties=species:S:1:pos:R:3 pbc="T T T"
Re 0.0000 0.0000 0.0000
Si 1.0715 0.0000 2.2927
Si 2.0838 1.5836 0.0000
As -1.0122 1.5836 2.2927
```

Calculated values
Size of the total moment: 0.00 μB per cell
E_tot: -6.578 eV per atom

3.
First-principles (PBE) data for a relaxed ReSi2As crystal, as listed in Alexandria.

```
8
Lattice="4.3881 0.0000 0.0000 0.0000 4.3881 0.0000 0.0000 0.0000 6.0968" Properties=species:S:1:pos:R:3 pbc="T T T"
Re 0.0000 0.0000 0.0000
Re 2.1940 2.1940 3.0484
Si 0.0000 0.0000 3.0484
Si 0.0000 2.1940 1.5242
Si 2.1940 0.0000 4.5726
Si 2.1940 2.1940 0.0000
As 0.0000 2.1940 4.5726
As 2.1940 0.0000 1.5242
```

Calculated values
Size of the total moment: 0.00 μB per cell
E_tot: -6.514 eV per atom

4.
First-principles (PBE) data for a relaxed Re2SiAs crystal, as listed in Alexandria.

```
4
Lattice="2.8723 0.0000 0.0000 0.0000 3.8272 0.0000 0.0000 0.0000 5.3058" Properties=species:S:1:pos:R:3 pbc="T T T"
Re 0.0000 0.0000 0.0000
Re 1.4362 1.9136 1.6840
Si 0.0000 0.0000 2.6369
As 1.4362 1.9136 4.2761
```

Calculated values
Size of the total moment: 0.00 μB per cell
E_tot: -8.593 eV per atom

5.
First-principles (PBE) data for a relaxed Re2SiAs crystal, as listed in Alexandria.

```
16
Lattice="3.9213 0.0000 0.0000 0.0000 3.9213 0.0000 0.0000 0.0000 17.0551" Properties=species:S:1:pos:R:3 pbc="T T T"
Re 0.8398 0.9803 2.1319
Re 0.9803 2.8004 6.3957
Re 0.9803 3.0816 14.9232
Re 1.1209 0.9803 10.6595
Re 2.8004 2.9410 10.6595
Re 2.9410 0.8398 14.9232
Re 2.9410 1.1209 6.3957
Re 3.0816 2.9410 2.1319
Si 0.0000 0.0000 0.0000
Si 0.0000 1.9607 4.2638
Si 1.9607 0.0000 12.7914
Si 1.9607 1.9607 8.5276
As 0.0000 0.0000 8.5276
As 0.0000 1.9607 12.7914
As 1.9607 0.0000 4.2638
As 1.9607 1.9607 0.0000
```

Calculated values
Size of the total moment: 0.00 μB per cell
E_tot: -8.195 eV per atom

6.
First-principles (PBE) data for a relaxed ReSi2As crystal, as listed in Alexandria.

```
16
Lattice="5.6095 0.0000 0.0000 0.0000 5.6095 0.0000 0.0000 0.0000 10.9172" Properties=species:S:1:pos:R:3 pbc="T T T"
Re 0.0000 0.0000 0.0000
Re 0.0000 2.8048 2.7293
Re 2.8048 0.0000 8.1879
Re 2.8048 2.8048 5.4586
Si 1.3158 1.4024 1.3646
Si 1.4024 4.1205 4.0939
Si 1.4024 4.2938 9.5525
Si 1.4890 1.4024 6.8232
Si 4.1205 4.2072 6.8232
Si 4.2072 1.3158 9.5525
Si 4.2072 1.4890 4.0939
Si 4.2938 4.2072 1.3646
As 0.0000 0.0000 5.4586
As 0.0000 2.8048 8.1879
As 2.8048 0.0000 2.7293
As 2.8048 2.8048 0.0000
```

Calculated values
Size of the total moment: 0.00 μB per cell
E_tot: -6.447 eV per atom

7.
First-principles (PBE) data for a relaxed ReSiAs crystal, as listed in Alexandria.

```
12
Lattice="3.0185 0.0000 0.0000 0.0000 4.8210 0.0000 0.0000 0.0000 13.6975" Properties=species:S:1:pos:R:3 pbc="T T T"
Re 0.0000 0.0000 0.0000
Re 0.0000 2.4105 6.8487
Re 1.5093 0.0000 6.8487
Re 1.5093 2.4105 0.0000
Si 0.0000 0.0000 8.8251
Si 0.0000 2.4105 1.9763
Si 1.5093 0.0000 1.9763
Si 1.5093 2.4105 8.8251
As 0.0000 0.0000 4.7482
As 0.0000 2.4105 11.5969
As 1.5093 0.0000 11.5969
As 1.5093 2.4105 4.7482
```

Calculated values
Size of the total moment: 0.00 μB per cell
E_tot: -7.071 eV per atom

8.
First-principles (PBE) data for a relaxed TaReSiAs2 crystal, as listed in Alexandria.

```
5
Lattice="4.9362 0.0000 0.0000 0.0000 4.9362 0.0000 0.0000 0.0000 4.8913" Properties=species:S:1:pos:R:3 pbc="T T T"
Ta 0.0000 0.0000 0.0000
Re 2.4681 2.4681 2.4456
Si 0.0000 0.0000 2.4456
As 0.0000 2.4681 0.0000
As 2.4681 0.0000 0.0000
```

Calculated values
Size of the total moment: 4.20 μB per cell
E_tot: -6.375 eV per atom

Sequential V output: 14.66, 15.13, 14.67, 14.58, 16.39, 21.47, 16.61, 23.84 A^3/atom